1.
NiOs2Pt at its PBEsol-relaxed geometry. Source: Alexandria, functional SCAN.

Summary:
Space group: No. 12
Energy of formation in eV/atom: 0.16
V in Å³/atom: 13.45
E in eV/atom: -57.3764

a b c (Å): 2.6872 4.6080 4.6171
angles (deg): 99.98 106.92 90.00
Site moments in Bohr magnetons follow the coordinates.
Atoms (fractional coordinates):
Ni 0.0000 0.5000 0.0000  0.57
Os 0.2527 0.2606 0.5055  0.05
Os 0.7473 0.7394 0.4945  0.05
Pt 0.5000 0.0000 0.0000  0.07

***

2.
NiOs2Pt at its PBEsol-relaxed geometry. Source: Alexandria, functional SCAN.

Summary:
Space group: No. 25
Energy of formation in eV/atom: 0.06
V in Å³/atom: 13.44
E in eV/atom: -57.4755

a b c (Å): 2.7013 3.7327 5.3321
angles (deg): 90.00 90.00 90.00
Atoms (fractional coordinates):
Ni 0.5000 0.5000 0.7526
Os 0.0000 0.0000 0.0022
Os 0.5000 0.5000 0.2328
Pt 0.0000 0.0000 0.5123

***

3.
NiOsPt2 at its PBEsol-relaxed geometry. Source: Alexandria, functional SCAN.

Summary:
Space group: No. 25
Energy of formation in eV/atom: 0.08
V in Å³/atom: 13.73
E in eV/atom: -57.0321

a b c (Å): 2.6796 4.3622 4.6971
angles (deg): 90.00 90.00 90.00
Site moments in Bohr magnetons follow the coordinates.
Atoms (fractional coordinates):
Ni 0.3752 0.0000 0.4671  1.02
Os 0.3750 0.5000 0.7825  0.20
Pt 0.8749 0.0000 0.9550  0.12
Pt 0.8749 0.5000 0.2955  0.08

***

4.
RbNi2Os at its PBEsol-relaxed geometry. Source: Alexandria, functional SCAN.

Summary:
Space group: No. 225
Energy of formation in eV/atom: 1.68
V in Å³/atom: 16.04
E in eV/atom: -29.5585

a b c (Å): 4.4935 4.4935 4.4935
angles (deg): 60.00 60.00 60.00
Site moments in Bohr magnetons follow the coordinates.
Atoms (fractional coordinates):
Ni 0.2500 0.2500 0.2500  0.79
Ni 0.7500 0.7500 0.7500  0.79
Os 0.5000 0.5000 0.5000  1.71
Rb 0.0000 0.0000 0.0000  0.01